# 1
Compound: CaSnAu4
Source: the Alexandria database
Functional: GGA-PBE
Structure: optimized geometry

Cell and atoms, written as extended XYZ:
```
6
Lattice="-4.419 -3.389 -0.985 0.845 -5.413 -1.403 -1.287 -4.107 3.669" Properties=species:S:1:pos:R:3 pbc="T T T"
Ca 0.000 0.000 0.000
Au -2.395 -6.015 -1.035
Au -3.462 -5.361 1.503
Au -3.039 -8.069 0.801
Au -0.828 -6.374 1.294
Sn -1.215 -3.227 0.320
```

ΔE_f   -0.412 eV per atom
Space group   F-43m
DOS(E_F)   2.04 states/eV/cell
Excess energy over the best structure of this formula in the dataset   0.0000 eV/atom

---

# 2
Compound: Ca8Sn2Au
Source: the Alexandria database
Functional: GGA-PBE
Structure: optimized geometry

Cell and atoms, written as extended XYZ:
```
11
Lattice="-2.447 -1.226 -4.551 -4.047 -4.968 3.515 -3.479 8.971 2.552" Properties=species:S:1:pos:R:3 pbc="T T T"
Ca -6.112 3.935 2.226
Ca -6.517 -2.764 1.150
Ca -6.843 0.773 0.372
Ca -6.537 6.287 -1.278
Ca -3.130 2.003 1.143
Ca -3.456 5.541 0.365
Ca -3.861 -1.158 -0.711
Ca -3.436 -3.510 2.793
Sn -5.353 3.201 -1.084
Sn -4.621 -0.425 2.599
Au -1.223 -0.613 -2.276
```

ΔE_f   -0.490 eV per atom
Space group   C2/m
DOS(E_F)   4.91 states/eV/cell
Excess energy over the best structure of this formula in the dataset   0.0000 eV/atom

---

# 3
Compound: CaSn2Au9
Source: the Alexandria database
Functional: GGA-PBE
Structure: optimized geometry

Cell and atoms, written as extended XYZ:
```
12
Lattice="-3.514 -0.516 -4.392 -4.982 -2.578 0.658 -6.755 7.107 0.938" Properties=species:S:1:pos:R:3 pbc="T T T"
Ca 0.000 0.000 0.000
Sn -10.296 0.638 -2.733
Sn -4.956 3.374 -0.063
Au -12.417 5.040 -1.553
Au -2.834 -1.027 -1.244
Au -7.626 2.006 -1.398
Au -5.226 0.498 -1.316
Au -6.992 0.238 -3.523
Au -7.729 -0.798 -0.986
Au -10.026 3.515 -1.480
Au -7.522 4.810 -1.810
Au -8.260 3.774 0.727
```

ΔE_f   -0.201 eV per atom
Space group   R-3m
DOS(E_F)   6.00 states/eV/cell

---

# 4
Compound: CaSn2Au
Source: the Alexandria database
Functional: GGA-PBE
Structure: optimized geometry

Cell and atoms, written as extended XYZ:
```
4
Lattice="0.000 3.670 3.670 3.670 0.000 3.670 3.670 3.670 0.000" Properties=species:S:1:pos:R:3 pbc="T T T"
Ca 0.000 0.000 0.000
Au 3.670 3.670 3.670
Sn 1.835 1.835 1.835
Sn 5.506 5.506 5.506
```

ΔE_f   -0.273 eV per atom
Space group   Fm-3m
DOS(E_F)   2.02 states/eV/cell